1.
An optimized crystal structure of TbCe2PrBi4, computed with PBE.

- formation enthalpy at 0 K (meV/atom) = -854
- total magnetic moment (μB/cell) = 1.681
- D(E_F) (states/eV per atom) = 1.816
- theoretical density (g cm⁻³) = 8.63

```
8
Lattice="7.937 0.000 0.000 0.000 4.584 0.000 -2.649 0.000 7.491" Properties=species:S:1:pos:R:3 pbc="T T T"
Tb 0.000 0.000 0.000
Ce 2.644 0.000 3.745
Ce 3.968 2.292 0.000
Pr -1.325 2.292 3.745
Bi 1.319 2.292 1.834
Bi -0.007 0.000 5.656
Bi 5.294 0.000 1.835
Bi 3.969 2.292 5.657
```

2.
An optimized crystal structure of TbCePr2Bi4, computed with PBE.

- formation enthalpy at 0 K (meV/atom) = -898
- total magnetic moment (μB/cell) = 0.772
- D(E_F) (states/eV per atom) = 0.885
- theoretical density (g cm⁻³) = 8.58

```
8
Lattice="7.951 0.000 0.000 0.000 4.596 0.000 -2.649 0.000 7.507" Properties=species:S:1:pos:R:3 pbc="T T T"
Tb 0.000 0.000 0.000
Ce 3.975 2.298 0.000
Pr -1.325 2.298 3.753
Pr 2.651 0.000 3.753
Bi 1.311 2.298 1.815
Bi -0.016 0.000 5.678
Bi 5.317 0.000 1.829
Bi 3.990 2.298 5.692
```

3.
An optimized crystal structure of Tb2CePrBi4, computed with PBE.

- formation enthalpy at 0 K (meV/atom) = -877
- total magnetic moment (μB/cell) = 0.811
- D(E_F) (states/eV per atom) = 0.996
- theoretical density (g cm⁻³) = 8.90

```
8
Lattice="7.886 0.000 0.000 0.000 4.557 0.000 -2.628 0.000 7.449" Properties=species:S:1:pos:R:3 pbc="T T T"
Tb 0.000 0.000 0.000
Tb -1.314 2.279 3.724
Ce 2.629 0.000 3.724
Pr 3.943 2.279 0.000
Bi -0.048 0.000 5.550
Bi 1.262 2.279 1.860
Bi 3.996 2.279 5.589
Bi 5.307 0.000 1.899
```

4.
An optimized crystal structure of CePr2ThBi5, computed with PBE.

- formation enthalpy at 0 K (meV/atom) = 9
- total magnetic moment (μB/cell) = 0.805
- D(E_F) (states/eV per atom) = 1.202
- theoretical density (g cm⁻³) = 7.08

```
9
Lattice="5.739 0.000 0.000 0.000 5.739 0.000 0.000 0.000 12.096" Properties=species:S:1:pos:R:3 pbc="T T T"
Ce 0.000 0.000 0.000
Pr 2.870 2.870 3.370
Pr 2.870 2.870 8.726
Th 0.000 0.000 6.048
Bi 0.000 0.000 2.960
Bi 0.000 0.000 9.136
Bi 0.000 2.870 6.048
Bi 2.870 0.000 6.048
Bi 2.870 2.870 0.000
```

5.
An optimized crystal structure of Ce2PrThBi5, computed with PBE.

- formation enthalpy at 0 K (meV/atom) = 44
- total magnetic moment (μB/cell) = 2.263
- D(E_F) (states/eV per atom) = 2.484
- theoretical density (g cm⁻³) = 7.05

```
9
Lattice="5.745 0.000 0.000 0.000 5.745 0.000 0.000 0.000 12.125" Properties=species:S:1:pos:R:3 pbc="T T T"
Ce 0.000 0.000 2.671
Ce 0.000 0.000 9.454
Pr 2.872 2.872 6.063
Th 2.872 2.872 0.000
Bi 0.000 0.000 6.063
Bi 0.000 2.872 0.000
Bi 2.872 0.000 0.000
Bi 2.872 2.872 3.073
Bi 2.872 2.872 9.052
```

6.
An optimized crystal structure of CePrTh2Bi4, computed with PBE.

- formation enthalpy at 0 K (meV/atom) = -734
- total magnetic moment (μB/cell) = 1.126
- D(E_F) (states/eV per atom) = 1.421
- theoretical density (g cm⁻³) = 9.47

```
8
Lattice="7.979 0.000 0.000 0.000 4.608 0.000 -2.662 0.000 7.540" Properties=species:S:1:pos:R:3 pbc="T T T"
Ce 0.000 0.000 0.000
Pr -1.331 2.304 3.770
Th 2.658 0.000 3.770
Th 3.989 2.304 0.000
Bi 1.335 2.304 1.878
Bi 0.004 0.000 5.669
Bi 5.312 0.000 1.871
Bi 3.982 2.304 5.663
```

7.
An optimized crystal structure of CePrTh2Bi5, computed with PBE.

- formation enthalpy at 0 K (meV/atom) = 186
- total magnetic moment (μB/cell) = 0.725
- D(E_F) (states/eV per atom) = 1.179
- theoretical density (g cm⁻³) = 7.96

```
9
Lattice="5.588 0.000 0.000 0.000 5.588 0.000 0.000 0.000 11.951" Properties=species:S:1:pos:R:3 pbc="T T T"
Ce 0.000 0.000 0.000
Pr 0.000 0.000 5.976
Th 2.794 2.794 3.759
Th 2.794 2.794 8.192
Bi 0.000 0.000 2.954
Bi 0.000 0.000 8.997
Bi 0.000 2.794 5.976
Bi 2.794 0.000 5.976
Bi 2.794 2.794 0.000
```

8.
An optimized crystal structure of Ce2PrThBi4, computed with PBE.

- formation enthalpy at 0 K (meV/atom) = -792
- total magnetic moment (μB/cell) = 0.039
- D(E_F) (states/eV per atom) = 2.010
- theoretical density (g cm⁻³) = 8.91

```
8
Lattice="7.977 0.000 0.000 0.000 4.605 0.000 -2.652 0.000 7.557" Properties=species:S:1:pos:R:3 pbc="T T T"
Ce 0.000 0.000 0.000
Ce -1.326 2.302 3.778
Pr 2.663 0.000 3.778
Th 3.989 2.302 0.000
Bi 1.318 2.302 1.871
Bi -0.007 0.000 5.677
Bi 5.333 0.000 1.880
Bi 4.008 2.302 5.686
```

9.
An optimized crystal structure of CePr2TmBi4, computed with PBE.

- formation enthalpy at 0 K (meV/atom) = -869
- total magnetic moment (μB/cell) = 0.769
- D(E_F) (states/eV per atom) = 0.886
- theoretical density (g cm⁻³) = 8.72

```
8
Lattice="7.922 0.000 0.000 0.000 4.583 0.000 -2.645 0.000 7.485" Properties=species:S:1:pos:R:3 pbc="T T T"
Ce 0.000 0.000 0.000
Pr -1.322 2.292 3.742
Pr 2.639 0.000 3.742
Tm 3.961 2.292 0.000
Bi 1.352 2.292 1.813
Bi 0.028 0.000 5.697
Bi 5.250 0.000 1.788
Bi 3.925 2.292 5.672
```

10.
An optimized crystal structure of Ce2PrTmBi5, computed with PBE.

- formation enthalpy at 0 K (meV/atom) = 45
- total magnetic moment (μB/cell) = 2.170
- D(E_F) (states/eV per atom) = 2.087
- theoretical density (g cm⁻³) = 7.20

```
9
Lattice="5.638 0.000 0.000 0.000 5.638 0.000 0.000 0.000 11.860" Properties=species:S:1:pos:R:3 pbc="T T T"
Ce 0.000 0.000 2.550
Ce 0.000 0.000 9.310
Pr 2.819 2.819 0.000
Tm 2.819 2.819 5.930
Bi 0.000 0.000 5.930
Bi 0.000 2.819 0.000
Bi 2.819 0.000 0.000
Bi 2.819 2.819 3.061
Bi 2.819 2.819 8.799
```

11.
An optimized crystal structure of Ce2PrTm3Bi6, computed with PBE.

- formation enthalpy at 0 K (meV/atom) = -815
- total magnetic moment (μB/cell) = 1.636
- D(E_F) (states/eV per atom) = 1.135
- theoretical density (g cm⁻³) = 9.21

```
12
Lattice="9.846 -2.268 0.000 9.846 2.268 0.000 -2.031 0.000 8.806" Properties=species:S:1:pos:R:3 pbc="T T T"
Ce 2.605 0.000 2.927
Ce 15.056 0.000 5.879
Pr 9.846 0.000 0.000
Tm 1.570 0.000 7.337
Tm 8.831 0.000 4.403
Tm 16.092 0.000 1.469
Bi -1.471 0.000 6.528
Bi 4.625 0.000 8.118
Bi 5.773 0.000 3.622
Bi 11.888 0.000 5.184
Bi 13.037 0.000 0.688
Bi 19.132 0.000 2.278
```

12.
An optimized crystal structure of Ce2PrTmBi4, computed with PBE.

- formation enthalpy at 0 K (meV/atom) = -825
- total magnetic moment (μB/cell) = 1.705
- D(E_F) (states/eV per atom) = 1.846
- theoretical density (g cm⁻³) = 8.77

```
8
Lattice="7.915 0.000 0.000 0.000 4.569 0.000 -2.644 0.000 7.469" Properties=species:S:1:pos:R:3 pbc="T T T"
Ce 0.000 0.000 0.000
Ce 3.957 2.284 0.000
Pr -1.322 2.284 3.734
Tm 2.635 0.000 3.734
Bi 0.049 0.000 5.598
Bi 1.370 2.284 1.908
Bi 3.901 2.284 5.561
Bi 5.222 0.000 1.870
```

13.
An optimized crystal structure of Ce2PrYBi5, computed with PBE.

- formation enthalpy at 0 K (meV/atom) = 16
- total magnetic moment (μB/cell) = 2.152
- D(E_F) (states/eV per atom) = 2.116
- theoretical density (g cm⁻³) = 6.83

```
9
Lattice="5.631 0.000 0.000 0.000 5.631 0.000 0.000 0.000 11.928" Properties=species:S:1:pos:R:3 pbc="T T T"
Ce 0.000 0.000 2.590
Ce 0.000 0.000 9.338
Pr 2.816 2.816 0.000
Y 2.816 2.816 5.964
Bi 0.000 0.000 5.964
Bi 0.000 2.816 0.000
Bi 2.816 0.000 0.000
Bi 2.816 2.816 3.066
Bi 2.816 2.816 8.862
```

14.
An optimized crystal structure of Ce3Pr2YBi6, computed with PBE.

- formation enthalpy at 0 K (meV/atom) = -866
- total magnetic moment (μB/cell) = 2.561
- D(E_F) (states/eV per atom) = 1.687
- theoretical density (g cm⁻³) = 8.24

```
12
Lattice="3.981 -6.897 0.000 3.981 6.897 0.000 -2.658 0.000 7.506" Properties=species:S:1:pos:R:3 pbc="T T T"
Ce 0.000 0.000 0.000
Ce 3.981 2.332 0.000
Ce 3.981 -2.332 0.000
Pr 2.652 4.611 3.753
Pr 2.652 -4.611 3.753
Y 2.652 0.000 3.753
Bi 1.350 2.262 1.877
Bi 0.044 0.000 5.651
Bi 1.350 -2.262 1.877
Bi 3.954 2.262 5.629
Bi 5.260 0.000 1.855
Bi 3.954 -2.262 5.629
```

15.
An optimized crystal structure of Ce2PrY3Bi6, computed with PBE.

- formation enthalpy at 0 K (meV/atom) = -875
- total magnetic moment (μB/cell) = 1.658
- D(E_F) (states/eV per atom) = 1.107
- theoretical density (g cm⁻³) = 8.06

```
12
Lattice="3.946 -6.833 0.000 3.946 6.833 0.000 -2.630 0.000 7.415" Properties=species:S:1:pos:R:3 pbc="T T T"
Ce 3.946 4.549 0.000
Ce 3.946 -4.549 0.000
Pr 3.946 0.000 0.000
Y -1.315 0.000 3.708
Y 2.631 2.260 3.708
Y 2.631 -2.260 3.708
Bi -0.011 2.296 5.505
Bi 1.292 0.000 1.904
Bi -0.011 -2.296 5.505
Bi 5.272 2.296 1.910
Bi 3.969 0.000 5.511
Bi 5.272 -2.296 1.910
```

16.
An optimized crystal structure of Ce5Bi3Pt, computed with PBE.

- formation enthalpy at 0 K (meV/atom) = -791
- total magnetic moment (μB/cell) = 13.202
- D(E_F) (states/eV per atom) = 3.135
- theoretical density (g cm⁻³) = 9.60

```
18
Lattice="9.623 0.000 0.000 -4.811 8.334 0.000 0.000 0.000 6.566" Properties=species:S:1:pos:R:3 pbc="T T T"
Ce -1.209 2.094 1.642
Ce -3.602 6.239 4.925
Ce 2.418 0.000 1.642
Ce 1.209 2.094 4.925
Ce 0.000 5.556 0.000
Ce 0.000 5.556 3.283
Ce 4.811 2.778 0.000
Ce 4.811 2.778 3.283
Ce 7.204 0.000 4.925
Ce 3.602 6.239 1.642
Bi -1.877 3.251 4.925
Bi -2.935 5.083 1.642
Bi 3.754 0.000 4.925
Bi 1.877 3.251 1.642
Bi 5.869 0.000 1.642
Bi 2.935 5.083 4.925
Pt 0.000 0.000 0.000
Pt 0.000 0.000 3.283
```

17.
An optimized crystal structure of CeBiPt4, computed with PBE.

- formation enthalpy at 0 K (meV/atom) = -669
- total magnetic moment (μB/cell) = 0.732
- D(E_F) (states/eV per atom) = 1.169
- theoretical density (g cm⁻³) = 16.01

```
6
Lattice="0.000 3.883 3.883 3.883 0.000 3.883 3.883 3.883 0.000" Properties=species:S:1:pos:R:3 pbc="T T T"
Ce 0.000 0.000 0.000
Bi 1.942 1.942 1.942
Pt 4.855 2.912 2.912
Pt 2.912 4.855 2.912
Pt 2.912 2.912 4.855
Pt 4.855 4.855 4.855
```

18.
An optimized crystal structure of Ce2BiPt2, computed with PBE.

- formation enthalpy at 0 K (meV/atom) = -1032
- total magnetic moment (μB/cell) = 1.714
- D(E_F) (states/eV per atom) = 1.822
- theoretical density (g cm⁻³) = 12.18

```
10
Lattice="7.954 0.000 0.000 0.000 7.954 0.000 0.000 0.000 3.790" Properties=species:S:1:pos:R:3 pbc="T T T"
Ce 1.378 2.599 0.000
Ce 2.599 6.577 0.000
Ce 5.355 1.378 0.000
Ce 6.577 5.355 0.000
Bi 0.000 0.000 1.895
Bi 3.977 3.977 1.895
Pt 1.001 4.978 1.895
Pt 2.976 1.001 1.895
Pt 4.978 6.953 1.895
Pt 6.953 2.976 1.895
```

19.
An optimized crystal structure of CeBiPt, computed with PBE.

- formation enthalpy at 0 K (meV/atom) = -935
- total magnetic moment (μB/cell) = 0.951
- D(E_F) (states/eV per atom) = 1.644
- theoretical density (g cm⁻³) = 11.16

```
3
Lattice="0.000 3.434 3.434 3.434 0.000 3.434 3.434 3.434 0.000" Properties=species:S:1:pos:R:3 pbc="T T T"
Ce 0.000 0.000 0.000
Bi 3.434 3.434 3.434
Pt 1.717 1.717 1.717
```

20.
An optimized crystal structure of Ce4BiPt, computed with PBE.

- formation enthalpy at 0 K (meV/atom) = -540
- total magnetic moment (μB/cell) = 3.528
- D(E_F) (states/eV per atom) = 2.699
- theoretical density (g cm⁻³) = 9.91

```
12
Lattice="4.063 -7.129 0.000 4.063 7.129 0.000 -2.095 0.000 5.579" Properties=species:S:1:pos:R:3 pbc="T T T"
Ce 1.499 4.449 5.116
Ce 1.127 1.193 3.682
Ce 3.484 4.449 3.253
Ce 2.174 -1.193 0.893
Ce 3.856 1.193 4.687
Ce 2.546 -4.449 2.327
Ce 4.904 -1.193 1.897
Ce 4.532 -4.449 0.463
Bi 3.539 1.766 1.395
Bi 2.491 -1.766 4.185
Pt 3.539 6.901 1.395
Pt 2.491 -6.901 4.185
```